The following is a DFT calculation (PBE-GGA) of a geometry-optimized NdFe4P2 structure.

a = 7.204 Å, b = 7.204 Å, c = 3.685 Å
α = 90.00°, β = 90.00°, γ = 90.00°
Space group P4_2/mnm (No. 136)
Symmetry-distinct sites (fractional):
Nd 0.000 0.000 0.000 x2
Fe 0.086 0.345 0.500 x8
P 0.218 0.782 0.500 x4

Output
Crystal system ... tetragonal

=====

The following is a DFT calculation (PBE-GGA) of a geometry-optimized ScTi2 structure.

a = 7.890 Å, b = 7.890 Å, c = 7.890 Å
α = 90.00°, β = 90.00°, γ = 90.00°
Space group Fd-3m (No. 227, origin choice 2)
Symmetry-distinct sites (fractional):
Sc 0.125 0.125 0.125 x8
Ti 0.000 0.000 0.500 x16

Output
Crystal system ... cubic

=====

The following is a DFT calculation (PBE-GGA) of a geometry-optimized Nd2Sm4DyMg structure.

a = 5.044 Å, b = 5.044 Å, c = 10.223 Å
α = 90.00°, β = 90.00°, γ = 90.00°
Space group P4/mmm (No. 123)
Symmetry-distinct sites (fractional):
Nd 0.000 0.000 0.000 x1
Nd 0.500 0.500 0.500 x1
Sm 0.000 0.500 0.248 x4
Dy 0.000 0.000 0.500 x1
Mg 0.500 0.500 0.000 x1

Output
Crystal system ... tetragonal

=====

The records above yield total magnetic moment values of 13.78; 24.86; 0.00 μB per cell, respectively.
The records above yield formation energy values of -0.5990; 0.2142; 0.0155 eV per atom, respectively.